DFT (SCAN) results for BeAl2Os at its PBEsol-relaxed geometry.

Cell and atoms, written as POSCAR:
```
BeAl2Os
1.0
-1.5196 -1.6457 -1.5478
1.8184 -1.3118 1.5447
-5.4364 -0.5556 5.9279
Al Be Os
2 1 1
direct
0.0000 0.0000 0.0187 Al
0.5000 0.5000 0.7289 Al
0.0000 0.0000 0.4823 Be
0.5000 0.5000 0.2701 Os
```

## Properties
Energy relative to the elements: 0.073 eV/atom
Space-group type: Cmm2

DFT (SCAN) results for TaTl3Ge at its PBEsol-relaxed geometry.

Cell and atoms, written as POSCAR:
```
TaTl3Ge
1.0
-0.5868 -0.2772 -5.3336
-1.2050 -5.2204 0.4039
-5.2030 1.2403 0.5080
Tl Ge Ta
3 1 1
direct
0.5000 0.0000 0.0000 Tl
0.0000 0.0000 0.5000 Tl
0.0000 0.5000 0.0000 Tl
0.5000 0.5000 0.5000 Ge
0.0000 0.0000 0.0000 Ta
```

## Properties
Energy relative to the elements: 0.947 eV/atom
Space-group type: Pm-3m

DFT (SCAN) results for Fe3HRh at its PBEsol-relaxed geometry.

Cell and atoms, written as POSCAR:
```
Fe3HRh
1.0
-1.8016 -2.1507 2.1822
2.5658 -2.4426 -0.2891
1.6746 1.4288 2.7906
Fe Rh H
3 1 1
direct
0.5000 0.0000 0.0000 Fe
0.0000 0.0000 0.5000 Fe
0.0000 0.5000 0.0000 Fe
0.5000 0.5000 0.5000 Rh
0.0000 0.0000 0.0000 H
```

## Properties
Space-group type: Pm-3m

DFT (SCAN) results for LiHgTe at its PBEsol-relaxed geometry.

Cell and atoms, written as POSCAR:
```
LiHgTe
1.0
4.8804 0.0000 0.0000
2.4402 4.2265 0.0000
2.4402 1.4088 3.9848
Hg Li Te
1 1 1
direct
0.2500 0.2500 0.2500 Hg
0.0000 0.0000 0.0000 Li
0.5000 0.5000 0.5000 Te
```

## Properties
Space-group type: F-43m
E_form (uncorrected): -30.1 kJ per mole of atoms
E above lowest polymorph: 80 meV per atom

Number 1: DFT total energy -91.4 eV for the cell shown, D(E_F) 0.53 states/eV per atom. Number 2: DFT total energy -298.0 eV for the cell shown, D(E_F) 0.60 states/eV per atom. Number 3: DFT total energy -91.2 eV for the cell shown, D(E_F) 0.71 states/eV per atom. Number 4: DFT total energy -108.7 eV for the cell shown, D(E_F) 0.46 states/eV per atom.